Here is a relaxed structure of Li4Tb3HfTe8 from Alexandria. Energies are from GGA-PBE.

Values from the calculation:
The value obtained for the raw total energy is -75.2 eV per formula unit.

a = 8.5363 Å, b = 8.5363 Å, c = 21.2164 Å
α = 90.00°, β = 90.00°, γ = 120.00°
Space group R-3m (No. 166, hexagonal axes)
Unique sites:
Li  0.0000  0.0000  0.0000 x3
Li  0.0000  0.5000  0.0000 x9
Tb  0.0000  0.5000  0.5000 x9
Hf  0.0000  0.0000  0.5000 x3
Te  0.0000  0.0000  0.2537 x6
Te  0.0147  0.5073  0.2508 x18